Entry 1:
Below is TcAsC3 after structural relaxation, with properties calculated at the PBE level.

Cell: 3.840 3.840 3.840 Å, 90.00 90.00 90.00°
Atoms (fractional coordinates):
Tc  0.000  0.000  0.000
As  0.500  0.500  0.500
C  0.000  0.500  0.500
C  0.500  0.000  0.500
C  0.500  0.500  0.000

DOS(E_F)	6.2	states/eV/cell
DFT formation energy	2785.5	meV per atom
distance to the lowest polymorph of the same formula	0.6452	eV/atom

Entry 2:
Below is SiMo2Pb after structural relaxation, with properties calculated at the PBE level.

Cell: 5.060 5.060 4.712 Å, 106.75 106.75 37.08°
Atoms (fractional coordinates):
Si  0.000  0.000  0.000
Mo  0.274  0.274  0.883
Mo  0.524  0.524  0.556
Pb  0.767  0.767  0.370

DOS(E_F)	2.7	states/eV/cell
distance to the lowest polymorph of the same formula	0.2942	eV/atom

Entry 3:
Below is AcGa3NiRu after structural relaxation, with properties calculated at the PBE level.

Cell: 6.647 6.647 6.184 Å, 90.00 90.00 113.84°
Atoms (fractional coordinates):
Ac  0.236  0.764  0.750
Ac  0.764  0.236  0.250
Ga  0.254  0.254  0.000
Ga  0.254  0.254  0.500
Ga  0.275  0.725  0.250
Ga  0.725  0.275  0.750
Ga  0.746  0.746  0.000
Ga  0.746  0.746  0.500
Ni  0.476  0.524  0.250
Ni  0.524  0.476  0.750
Ru  0.064  0.936  0.250
Ru  0.936  0.064  0.750

DOS(E_F)	6.2	states/eV/cell
DFT formation energy	-355.1	meV per atom

Entry 4:
Below is KNaFePd2 after structural relaxation, with properties calculated at the PBE level.

Cell: 4.997 4.997 4.914 Å, 90.00 90.00 90.00°
Atoms (fractional coordinates):
K  0.000  0.000  0.000
Na  0.500  0.500  0.500
Fe  0.500  0.500  0.000
Pd  0.000  0.500  0.500
Pd  0.500  0.000  0.500

DOS(E_F)	6.1	states/eV/cell
DFT formation energy	1037.6	meV per atom

Entry 5:
Below is Mg3Tc2 after structural relaxation, with properties calculated at the PBE level.

Cell: 12.018 12.018 12.018 Å, 13.69 13.69 13.69°
Atoms (fractional coordinates):
Mg  0.000  0.000  0.000
Mg  0.204  0.204  0.204
Mg  0.796  0.796  0.796
Tc  0.399  0.399  0.399
Tc  0.601  0.601  0.601

DOS(E_F)	4.1	states/eV/cell
DFT formation energy	289.1	meV per atom
distance to the lowest polymorph of the same formula	0.2920	eV/atom

Entry 6:
Below is Zr2PbN2 after structural relaxation, with properties calculated at the PBE level.

Cell: 7.304 7.304 7.304 Å, 150.02 150.02 42.92°
Atoms (fractional coordinates):
Zr  0.178  0.178  0.000
Zr  0.822  0.822  0.000
Pb  0.500  0.500  0.000
N  0.250  0.750  0.500
N  0.750  0.250  0.500

VASP energy	-8.49	eV/atom
DOS(E_F)	4.9	states/eV/cell

Entry 7:
Below is LiTePb2 after structural relaxation, with properties calculated at the PBE level.

Cell: 5.451 5.451 5.451 Å, 60.00 60.00 60.00°
Atoms (fractional coordinates):
Li  0.000  0.000  0.000
Te  0.250  0.250  0.250
Pb  0.500  0.500  0.500
Pb  0.750  0.750  0.750

VASP energy	-3.24	eV/atom
DOS(E_F)	2.3	states/eV/cell

Entry 8:
Below is SrZn3IrPd after structural relaxation, with properties calculated at the PBE level.

Cell: 6.853 6.853 5.932 Å, 90.00 90.00 109.74°
Atoms (fractional coordinates):
Sr  0.221  0.779  0.750
Sr  0.779  0.221  0.250
Zn  0.242  0.242  0.000
Zn  0.242  0.242  0.500
Zn  0.298  0.702  0.250
Zn  0.702  0.298  0.750
Zn  0.758  0.758  0.000
Zn  0.758  0.758  0.500
Ir  0.488  0.512  0.750
Ir  0.512  0.488  0.250
Pd  0.076  0.924  0.250
Pd  0.924  0.076  0.750

DOS(E_F)	3.4	states/eV/cell
DFT formation energy	-235.4	meV per atom

Entry 9:
Below is YMg7 after structural relaxation, with properties calculated at the PBE level.

Cell: 6.548 6.548 6.548 Å, 60.00 60.00 60.00°
Atoms (fractional coordinates):
Y  0.000  0.000  0.000
Mg  0.000  0.000  0.500
Mg  0.000  0.500  0.000
Mg  0.000  0.500  0.500
Mg  0.500  0.000  0.000
Mg  0.500  0.000  0.500
Mg  0.500  0.500  0.000
Mg  0.500  0.500  0.500

DOS(E_F)	6.2	states/eV/cell
DFT formation energy	14.4	meV per atom
distance to the lowest polymorph of the same formula	0.0645	eV/atom

Entry 10:
Below is Pm2SmZn4 after structural relaxation, with properties calculated at the PBE level.

Cell: 7.382 7.382 7.382 Å, 138.31 138.31 60.43°
Atoms (fractional coordinates):
Pm  0.220  0.220  0.000
Pm  0.780  0.780  0.000
Sm  0.500  0.500  0.000
Zn  0.108  0.608  0.500
Zn  0.392  0.892  0.500
Zn  0.608  0.108  0.500
Zn  0.892  0.392  0.500

DOS(E_F)	5.0	states/eV/cell
DFT formation energy	-149.0	meV per atom
distance to the lowest polymorph of the same formula	0.0000	eV/atom

Entry 11:
Below is NiHg2P after structural relaxation, with properties calculated at the PBE level.

Cell: 3.595 3.595 5.535 Å, 90.00 90.00 90.00°
Atoms (fractional coordinates):
Ni  0.000  0.000  0.000
Hg  0.500  0.500  0.245
Hg  0.500  0.500  0.755
P  0.000  0.000  0.500

DOS(E_F)	3.0	states/eV/cell
DFT formation energy	484.6	meV per atom

Entry 12:
Below is La2TbPr5Th after structural relaxation, with properties calculated at the PBE level.

Cell: 11.492 11.492 10.606 Å, 90.00 90.00 152.06°
Atoms (fractional coordinates):
La  0.113  0.887  0.500
La  0.114  0.886  0.005
La  0.886  0.114  0.505
La  0.887  0.113  0.000
Tb  0.397  0.603  0.752
Tb  0.603  0.397  0.252
Pr  0.001  0.999  0.752
Pr  0.276  0.724  0.562
Pr  0.276  0.724  0.944
Pr  0.371  0.629  0.252
Pr  0.500  0.500  0.002
Pr  0.500  0.500  0.502
Pr  0.629  0.371  0.752
Pr  0.724  0.276  0.062
Pr  0.724  0.276  0.444
Pr  0.999  0.001  0.252
Th  0.210  0.790  0.253
Th  0.790  0.210  0.753

DOS(E_F)	24.7	states/eV/cell
DFT formation energy	126.0	meV per atom

Entry 13:
Below is AgTe2Os after structural relaxation, with properties calculated at the PBE level.

Cell: 5.333 5.333 6.891 Å, 114.30 114.30 38.86°
Atoms (fractional coordinates):
Ag  0.000  0.000  0.000
Te  0.217  0.217  0.749
Te  0.374  0.374  0.317
Os  0.724  0.724  0.031

DOS(E_F)	2.1	states/eV/cell
distance to the lowest polymorph of the same formula	0.1854	eV/atom

Entry 14:
Below is Ti3BeCl after structural relaxation, with properties calculated at the PBE level.

Cell: 4.408 4.408 4.408 Å, 90.00 90.00 90.00°
Atoms (fractional coordinates):
Ti  0.000  0.000  0.500
Ti  0.000  0.500  0.000
Ti  0.500  0.000  0.000
Be  0.500  0.500  0.500
Cl  0.000  0.000  0.000

DOS(E_F)	5.2	states/eV/cell
distance to the lowest polymorph of the same formula	0.0000	eV/atom